First-principles (GGA-PBE) data for CeSc3Al8 after structural relaxation, as listed in Alexandria.

Calculated values
**Total magnetic moment**: 0.4 μB/f.u.
**Calculated formation energy**: -0.4502 eV per atom
**Calculated total energy**: -5.023 eV per atom
**E above lowest polymorph**: 7 meV/atom

Lattice parameters (Å, degrees): 5.417 5.417 8.938 90.00 90.00 120.00
Sites, in units of the cell vectors:
Ce (0.000, 0.000, 0.000)
Sc (0.000, 0.000, 0.365)
Sc (0.667, 0.333, 0.500)
Sc (0.667, 0.333, 0.861)
Al (0.162, 0.324, 0.679)
Al (0.162, 0.838, 0.679)
Al (0.333, 0.667, 0.438)
Al (0.333, 0.667, 0.931)
Al (0.504, 0.008, 0.191)
Al (0.504, 0.496, 0.191)
Al (0.676, 0.838, 0.679)
Al (0.992, 0.496, 0.191)



First-principles (GGA-PBE) data for Ce2Sc2Al3 after structural relaxation, as listed in Alexandria.

Calculated values
**Total magnetic moment**: 0.0 μB/f.u.
**Calculated formation energy**: -0.3126 eV per atom
**Calculated total energy**: -5.421 eV per atom

Lattice parameters (Å, degrees): 11.464 11.464 3.048 90.00 90.00 158.42
Sites, in units of the cell vectors:
Ce (0.211, 0.789, 0.000)
Ce (0.789, 0.211, 0.000)
Sc (0.068, 0.932, 0.000)
Sc (0.932, 0.068, 0.000)
Al (0.370, 0.630, 0.500)
Al (0.500, 0.500, 0.500)
Al (0.630, 0.370, 0.500)



First-principles (GGA-PBE) data for CeSc6Al3 after structural relaxation, as listed in Alexandria.

Calculated values
**Total magnetic moment**: 0.8 μB/f.u.
**Calculated formation energy**: -0.1410 eV per atom
**Calculated total energy**: -5.656 eV per atom

Lattice parameters (Å, degrees): 8.658 8.658 6.202 90.00 90.00 97.15
Sites, in units of the cell vectors:
Ce (0.206, 0.794, 0.500)
Ce (0.794, 0.206, 0.000)
Sc (0.056, 0.490, 0.173)
Sc (0.191, 0.809, 0.969)
Sc (0.197, 0.246, 0.496)
Sc (0.246, 0.197, 0.996)
Sc (0.424, 0.576, 0.262)
Sc (0.490, 0.056, 0.673)
Sc (0.510, 0.944, 0.173)
Sc (0.576, 0.424, 0.762)
Sc (0.754, 0.803, 0.496)
Sc (0.803, 0.754, 0.996)
Sc (0.809, 0.191, 0.469)
Sc (0.944, 0.510, 0.673)
Al (0.004, 0.996, 0.236)
Al (0.265, 0.505, 0.788)
Al (0.495, 0.735, 0.788)
Al (0.505, 0.265, 0.288)
Al (0.735, 0.495, 0.288)
Al (0.996, 0.004, 0.736)



First-principles (GGA-PBE) data for CeSc2Al6 after structural relaxation, as listed in Alexandria.

Calculated values
**Total magnetic moment**: 1.2 μB/f.u.
**Calculated formation energy**: -0.2614 eV per atom
**Calculated total energy**: -4.823 eV per atom
**E above lowest polymorph**: 157 meV/atom

Lattice parameters (Å, degrees): 7.678 7.678 7.678 147.49 125.19 65.19
Sites, in units of the cell vectors:
Ce (0.000, 0.000, 0.000)
Sc (0.381, 0.881, 0.500)
Sc (0.619, 0.119, 0.500)
Al (0.009, 0.310, 0.699)
Al (0.320, 0.500, 0.820)
Al (0.390, 0.690, 0.699)
Al (0.610, 0.310, 0.301)
Al (0.680, 0.500, 0.180)
Al (0.991, 0.690, 0.301)



First-principles (GGA-PBE) data for Ce2ScAl3 after structural relaxation, as listed in Alexandria.

Calculated values
**Total magnetic moment**: 1.6 μB/f.u.
**Calculated formation energy**: -0.3656 eV per atom
**Calculated total energy**: -5.270 eV per atom
**E above lowest polymorph**: 8 meV/atom

Lattice parameters (Å, degrees): 5.767 5.767 5.767 59.92 59.92 59.92
Sites, in units of the cell vectors:
Ce (0.126, 0.126, 0.126)
Ce (0.874, 0.874, 0.874)
Sc (0.500, 0.500, 0.500)
Al (0.000, 0.500, 0.500)
Al (0.500, 0.000, 0.500)
Al (0.500, 0.500, 0.000)



First-principles (GGA-PBE) data for Ce2ScAl after structural relaxation, as listed in Alexandria.

Calculated values
**Total magnetic moment**: 0.0 μB/f.u.
**Calculated formation energy**: -0.0998 eV per atom
**Calculated total energy**: -5.585 eV per atom
**E above lowest polymorph**: 130 meV/atom

Lattice parameters (Å, degrees): 5.962 5.962 5.304 98.39 98.39 30.49
Sites, in units of the cell vectors:
Ce (0.232, 0.232, 0.234)
Ce (0.768, 0.768, 0.766)
Sc (0.000, 0.000, 0.500)
Al (0.500, 0.500, 0.000)



First-principles (GGA-PBE) data for Ce2ScAl after structural relaxation, as listed in Alexandria.

Calculated values
**Total magnetic moment**: 2.1 μB/f.u.
**Calculated formation energy**: -0.0174 eV per atom
**Calculated total energy**: -5.503 eV per atom
**E above lowest polymorph**: 212 meV/atom

Lattice parameters (Å, degrees): 5.255 5.255 5.255 60.00 60.00 60.00
Sites, in units of the cell vectors:
Ce (0.250, 0.250, 0.250)
Ce (0.750, 0.750, 0.750)
Sc (0.000, 0.000, 0.000)
Al (0.500, 0.500, 0.500)



First-principles (GGA-PBE) data for CeSc2Al3 after structural relaxation, as listed in Alexandria.

Calculated values
**Total magnetic moment**: 0.0 μB/f.u.
**Calculated formation energy**: -0.4030 eV per atom
**Calculated total energy**: -5.374 eV per atom

Lattice parameters (Å, degrees): 3.194 3.194 12.118 90.00 90.00 90.00
Sites, in units of the cell vectors:
Ce (0.000, 0.000, 0.000)
Sc (0.000, 0.000, 0.343)
Sc (0.000, 0.000, 0.657)
Al (0.500, 0.500, 0.185)
Al (0.500, 0.500, 0.500)
Al (0.500, 0.500, 0.815)



First-principles (GGA-PBE) data for CeSc2Al6 after structural relaxation, as listed in Alexandria.

Calculated values
**Total magnetic moment**: 0.8 μB/f.u.
**Calculated formation energy**: -0.4187 eV per atom
**Calculated total energy**: -4.980 eV per atom
**E above lowest polymorph**: 0 meV/atom

Lattice parameters (Å, degrees): 7.878 7.878 3.287 90.00 90.00 120.00
Sites, in units of the cell vectors:
Ce (0.000, 0.000, 0.000)
Sc (0.333, 0.667, 0.000)
Sc (0.667, 0.333, 0.000)
Al (0.000, 0.338, 0.500)
Al (0.000, 0.662, 0.500)
Al (0.338, 0.000, 0.500)
Al (0.338, 0.338, 0.500)
Al (0.662, 0.000, 0.500)
Al (0.662, 0.662, 0.500)



First-principles (GGA-PBE) data for Ce4ScAl after structural relaxation, as listed in Alexandria.

Calculated values
**Total magnetic moment**: 0.0 μB/f.u.
**Calculated formation energy**: -0.0944 eV per atom
**Calculated total energy**: -5.729 eV per atom

Lattice parameters (Å, degrees): 9.488 9.488 5.309 90.00 90.00 142.62
Sites, in units of the cell vectors:
Ce (0.033, 0.441, 0.250)
Ce (0.187, 0.275, 0.250)
Ce (0.275, 0.187, 0.750)
Ce (0.441, 0.033, 0.750)
Ce (0.559, 0.967, 0.250)
Ce (0.725, 0.813, 0.250)
Ce (0.813, 0.725, 0.750)
Ce (0.967, 0.559, 0.750)
Sc (0.128, 0.872, 0.250)
Sc (0.872, 0.128, 0.750)
Al (0.376, 0.624, 0.750)
Al (0.624, 0.376, 0.250)



First-principles (GGA-PBE) data for CeScAl4 after structural relaxation, as listed in Alexandria.

Calculated values
**Total magnetic moment**: 0.5 μB/f.u.
**Calculated formation energy**: -0.4256 eV per atom
**Calculated total energy**: -4.965 eV per atom

Lattice parameters (Å, degrees): 5.512 5.512 5.512 60.00 60.00 60.00
Sites, in units of the cell vectors:
Ce (0.000, 0.000, 0.000)
Sc (0.750, 0.750, 0.750)
Al (0.375, 0.375, 0.375)
Al (0.375, 0.375, 0.876)
Al (0.375, 0.876, 0.375)
Al (0.876, 0.375, 0.375)



First-principles (GGA-PBE) data for CeSc12Al3 after structural relaxation, as listed in Alexandria.

Calculated values
**Total magnetic moment**: 2.0 μB/f.u.
**Calculated formation energy**: -0.1454 eV per atom
**Calculated total energy**: -5.967 eV per atom

Lattice parameters (Å, degrees): 4.461 4.461 18.177 90.00 90.00 90.00
Sites, in units of the cell vectors:
Ce (0.000, 0.000, 0.000)
Sc (0.000, 0.500, 0.136)
Sc (0.000, 0.500, 0.379)
Sc (0.000, 0.500, 0.621)
Sc (0.000, 0.500, 0.864)
Sc (0.500, 0.000, 0.136)
Sc (0.500, 0.000, 0.379)
Sc (0.500, 0.000, 0.621)
Sc (0.500, 0.000, 0.864)
Sc (0.500, 0.500, 0.000)
Sc (0.500, 0.500, 0.260)
Sc (0.500, 0.500, 0.500)
Sc (0.500, 0.500, 0.740)
Al (0.000, 0.000, 0.258)
Al (0.000, 0.000, 0.500)
Al (0.000, 0.000, 0.742)